Entry 1:
# K2MgMo2H4O10

K2MgMo2H4O10 at its PBEsol-relaxed geometry (SCAN, Alexandria via LeMat-Bulk).

extended XYZ file:
```
19
Lattice="5.876 0.000 0.000 -2.162 6.092 0.000 -0.818 -3.246 6.917" Properties=species:S:1:pos:R:3 pbc="T T T"
K 0.120 0.888 1.783
K 2.775 1.958 5.134
Mg 2.529 -1.623 3.459
Mo -0.338 -0.309 5.122
Mo 3.233 3.155 1.795
H 0.246 4.929 0.733
H -0.027 2.672 5.510
H 2.923 0.174 1.407
H 2.649 -2.082 6.184
O -1.280 3.262 2.934
O -0.310 -1.689 6.164
O -0.571 1.185 6.061
O 1.184 -0.179 4.206
O 2.429 -0.675 1.612
O 0.466 3.521 5.305
O 1.711 3.025 2.711
O 3.466 1.661 0.856
O 3.205 4.535 0.753
O 4.175 -0.416 3.983
```

Calculated values
Total moment = 0.00 μB/f.u.
Raw total energy = -10.82 eV per atom
Density of states at the Fermi level = 0.000 states/eV per atom
Calculated volume = 13.032 Å³ per atom

***

Entry 2:
# LiAsCl2

LiAsCl2 at its PBEsol-relaxed geometry (SCAN, Alexandria via LeMat-Bulk).

extended XYZ file:
```
8
Lattice="3.451 0.000 0.000 0.000 6.245 0.000 0.000 0.000 7.711" Properties=species:S:1:pos:R:3 pbc="T T T"
Li 0.000 0.000 0.000
Li 1.725 3.123 3.855
As 0.000 0.000 3.855
As 1.725 3.123 0.000
Cl 0.000 3.123 1.895
Cl 0.000 3.123 5.815
Cl 1.725 0.000 1.960
Cl 1.725 0.000 5.751
```

Calculated values
ΔE_f (raw) = -2.4 eV per formula unit
Total moment = 0.00 μB/f.u.
E above lowest polymorph = 0.0 meV per atom
Raw total energy = -10.24 eV per atom
Density of states at the Fermi level = 0.065 states/eV per atom
Calculated volume = 20.772 Å³ per atom

***

Entry 3:
# SbTe2Au

SbTe2Au at its PBEsol-relaxed geometry (SCAN, Alexandria via LeMat-Bulk).

extended XYZ file:
```
8
Lattice="7.205 0.000 0.000 0.000 4.137 0.000 -2.385 0.000 7.065" Properties=species:S:1:pos:R:3 pbc="T T T"
Sb 0.000 0.000 0.000
Sb 3.603 2.068 0.000
Te -1.179 2.068 4.126
Te 1.211 2.068 1.930
Te 2.424 0.000 4.126
Te 4.814 0.000 1.930
Au 0.020 0.000 5.555
Au 3.623 2.068 5.555
```

Calculated values
ΔE_f (raw) = -0.5 eV per formula unit
Total moment = 0.00 μB/f.u.
Raw total energy = -45.35 eV per atom
Density of states at the Fermi level = 0.512 states/eV per atom
Calculated volume = 26.323 Å³ per atom

***

Which formula does entry 3 have?
SbTe2Au